The following is a DFT calculation (GGA-PBE) of a relaxed structure of Na3Cl2.

a = 8.2075 Å, b = 8.2075 Å, c = 3.6736 Å
α = 90.00°, β = 90.00°, γ = 90.00°
Space group P4/m (No. 83)
Inequivalent atoms, fractional coordinates:
Na: 0.0000 0.0000 0.0000 x1
Na: 0.1322 0.3298 0.5000 x4
Na: 0.5000 0.5000 0.5000 x1
Cl: 0.2073 0.5921 0.0000 x4

Calculated values
Offset from the most stable computed form, kJ/mol of atoms: 4.84
Spin magnetization, μB/f.u.: 0.00
Uncorrected formation energy, eV/atom: -1.22
DOS(E_F), states/eV/cell: 1.5